1) 3
Lattice="6.4225 0.3426 -0.0341 2.8369 5.7721 0.0341 -4.0542 -3.9288 3.0813" Properties=species:S:1:pos:R:3 comment="PBE KSbSe, relaxed" total_magnetization_mub_per_cell=0.000 pbc="T T T"
K 0.3700 0.2443 0.0000
Sb 3.4033 2.2475 0.0000
Se 5.4860 3.6228 0.0000


2) 6
Lattice="6.9514 0.0000 0.0000 0.0000 5.4353 0.0000 -3.4757 -2.7177 7.2345" Properties=species:S:1:pos:R:3 comment="PBE KSbSe, relaxed" total_magnetization_mub_per_cell=0.000 pbc="T T T"
K 3.4757 0.0000 2.1168
K 0.0000 2.7177 5.1176
Sb 4.9711 2.7177 0.0000
Sb 1.9803 2.7177 0.0000
Se 0.0000 2.7177 1.8160
Se 3.4757 0.0000 5.4185


Pick 2): it beats the second-best structure by 20 meV/atom.


1) 4
Lattice="9.5396 -0.0043 -0.0025 9.1911 2.5548 -0.0025 9.1911 1.2515 2.2273" Properties=species:S:1:pos:R:3 comment="PBE Li2ZnCr, relaxed" total_magnetization_mub_per_cell=0.792 pbc="T T T"
Cr 20.9414 2.8516 1.6667
Li 0.0337 0.0046 0.0027
Li 13.9272 1.8965 1.1085
Zn 6.9805 0.9505 0.5556


2) 4
Lattice="2.4982 0.1110 0.0000 -0.4281 2.4638 0.0000 0.0000 0.0000 8.9962" Properties=species:S:1:pos:R:3 comment="PBE Li2ZnCr, relaxed" total_magnetization_mub_per_cell=0.000 pbc="T T T"
Cr 1.0351 1.2874 6.6415
Li 0.0000 0.0000 8.8629
Li 1.0351 1.2874 2.4048
Zn 0.0000 0.0000 4.5813


Pick 2): it beats the second-best structure by 10 meV/atom.


1) 5
Lattice="-1.6867 1.6867 7.2059 1.6867 -1.6867 7.2059 1.6867 1.6867 -7.2059" Properties=species:S:1:pos:R:3 comment="PBE W4C, relaxed" total_magnetization_mub_per_cell=0.000 pbc="T T T"
W 0.0000 1.6867 3.6029
W 1.6867 0.0000 3.6029
W 0.0000 0.0000 8.4686
W 0.0000 0.0000 5.9431
C 0.0000 0.0000 0.0000


2) 5
Lattice="0.4812 2.4522 3.9050 -1.6236 2.7495 -3.3613 -2.9741 -3.4831 0.7190" Properties=species:S:1:pos:R:3 comment="PBE W4C, relaxed" total_magnetization_mub_per_cell=0.000 pbc="T T T"
W -0.8118 1.3748 -1.6806
W -2.0583 0.8593 0.6314
W 0.2406 1.2261 1.9525
W -1.4871 -1.7415 0.3595
C 0.0000 0.0000 0.0000


Pick 2): it beats the second-best structure by 717 meV/atom.


1) 4
Lattice="2.9925 0.0000 0.0000 0.0000 2.9925 0.0000 0.0000 0.0000 6.6839" Properties=species:S:1:pos:R:3 comment="PBE FeNiAu2, relaxed" total_magnetization_mub_per_cell=3.647 pbc="T T T"
Ni 1.4963 1.4963 4.7965
Au 0.0000 0.0000 6.4727
Au 1.4963 1.4963 1.8503
Fe 0.0000 0.0000 3.5902


2) 4
Lattice="-0.1118 -3.9655 1.8646 -3.7592 -2.2500 0.1418 -0.5089 -3.5760 -2.4834" Properties=species:S:1:pos:R:3 comment="PBE FeNiAu2, relaxed" total_magnetization_mub_per_cell=3.190 pbc="T T T"
Ni -2.1899 -4.8958 -0.2385
Au -1.0950 -2.4479 -0.1192
Au -3.2849 -7.3437 -0.3577
Fe 0.0000 0.0000 0.0000


Pick 1): it beats the second-best structure by 72 meV/atom.


1) 8
Lattice="-5.8642 -5.0633 -2.2527 1.2829 -4.4310 6.6197 -4.2895 -3.0962 3.6760" Properties=species:S:1:pos:R:3 comment="PBE Mg2AlSb, relaxed" total_magnetization_mub_per_cell=0.000 pbc="T T T"
Sb 0.0000 0.0000 0.0000
Sb -6.2221 -6.4533 1.8034
Mg -4.6016 -4.5137 0.3291
Mg -0.9790 -4.1552 4.7841
Mg -4.9404 -5.8640 4.3670
Mg -7.2203 -10.6482 6.6058
Al -2.2906 -4.7472 2.1835
Al -2.6486 -6.1372 6.2396


2) 4
Lattice="5.4270 -0.0223 0.0000 -1.7834 5.1257 0.0000 0.0000 0.0000 3.1864" Properties=species:S:1:pos:R:3 comment="PBE Mg2AlSb, relaxed" total_magnetization_mub_per_cell=0.000 pbc="T T T"
Sb 2.7135 -0.0111 1.5932
Mg 0.0000 0.0000 0.0000
Mg 1.8218 2.5517 0.0000
Al -0.8917 2.5628 1.5932


Pick 2): it beats the second-best structure by 172 meV/atom.


1) 4
Lattice="-0.6105 1.6863 -5.1226 -0.3366 -4.0719 -3.5726 -2.4917 1.1424 4.6844" Properties=species:S:1:pos:R:3 comment="PBE MgZr2Zn, relaxed" total_magnetization_mub_per_cell=0.000 pbc="T T T"
Mg -0.4736 -1.1928 -4.3476
Zn -1.7879 0.8179 -2.3929
Zr 0.0000 0.0000 0.0000
Zr -1.6509 -2.0612 -1.6179


2) 4
Lattice="-1.6608 -2.7021 3.7818 -3.6784 -3.2173 -0.6932 0.9022 -4.8503 0.1516" Properties=species:S:1:pos:R:3 comment="PBE MgZr2Zn, relaxed" total_magnetization_mub_per_cell=3.296 pbc="T T T"
Mg -2.2185 -5.3848 1.6201
Zn -3.3277 -8.0773 2.4302
Zr 0.0000 0.0000 0.0000
Zr -1.1092 -2.6924 0.8101


Pick 1): it beats the second-best structure by 223 meV/atom.


1) 5
Lattice="-2.5919 1.7151 -4.2183 4.0180 -1.4225 -3.0472 -2.2032 -4.8761 -0.6288" Properties=species:S:1:pos:R:3 comment="PBE BaIn2HgPd, relaxed" total_magnetization_mub_per_cell=0.000 pbc="T T T"
In 2.0090 -0.7113 -1.5236
In -1.2959 0.8575 -2.1091
Hg -1.1016 -2.4381 -0.3144
Pd 0.0000 0.0000 0.0000
Ba -0.3885 -2.2918 -3.9471


2) 5
Lattice="5.2262 0.0000 0.0000 0.0000 5.2262 0.0000 0.0000 0.0000 6.1001" Properties=species:S:1:pos:R:3 comment="PBE BaIn2HgPd, relaxed" total_magnetization_mub_per_cell=0.000 pbc="T T T"
In 0.0000 2.6131 0.0000
In 2.6131 0.0000 0.0000
Hg 2.6131 2.6131 3.0500
Pd 0.0000 0.0000 0.0000
Ba 0.0000 0.0000 3.0500


Pick 1): it beats the second-best structure by 28 meV/atom.